1.
DFT (PBE) results for a geometry-optimized Y2PRh structure.

Results
formation enthalpy at 0 K: -1.16 eV per atom

a b c (Å): 4.188 5.619 5.619
angles (deg): 39.80 90.00 90.00
Positions (direct):
1 Y 0.000 0.000 0.000
2 Y 0.500 0.278 0.278
3 P 0.000 0.718 0.718
4 Rh 0.500 0.558 0.558

***

2.
DFT (PBE) results for a geometry-optimized Ti2Pd5 structure.

Results
formation enthalpy at 0 K: -0.53 eV per atom

a b c (Å): 7.428 7.428 7.428
angles (deg): 125.74 71.44 137.24
Positions (direct):
1 Ti 0.127 0.231 0.358
2 Ti 0.373 0.731 0.104
3 Ti 0.627 0.269 0.896
4 Ti 0.873 0.769 0.642
5 Pd 0.019 0.750 0.269
6 Pd 0.083 0.844 0.927
7 Pd 0.250 0.750 0.500
8 Pd 0.417 0.344 0.761
9 Pd 0.481 0.750 0.731
10 Pd 0.519 0.250 0.269
11 Pd 0.583 0.656 0.239
12 Pd 0.750 0.250 0.500
13 Pd 0.917 0.156 0.073
14 Pd 0.981 0.250 0.731

***

3.
DFT (PBE) results for a geometry-optimized NdEuSbAu structure.

Results
energy relative to the elements, uncorrected: -81.9 kJ per mole of atoms

a b c (Å): 5.402 5.402 5.402
angles (deg): 60.00 60.00 60.00
Positions (direct):
1 Nd 0.000 0.000 0.000
2 Eu 0.500 0.500 0.500
3 Sb 0.250 0.250 0.250
4 Au 0.750 0.750 0.750

***

4.
DFT (PBE) results for a geometry-optimized RbNb2Tl2O7 structure.

Results
energy relative to the elements, uncorrected: -180.5 kJ per mole of atoms

a b c (Å): 4.151 4.151 10.947
angles (deg): 96.66 96.66 88.62
Positions (direct):
1 Rb 0.000 0.000 0.000
2 Nb 0.408 0.408 0.811
3 Nb 0.592 0.592 0.189
4 Tl 0.193 0.193 0.399
5 Tl 0.807 0.807 0.601
6 O 0.046 0.551 0.191
7 O 0.416 0.416 0.628
8 O 0.449 0.954 0.809
9 O 0.500 0.500 0.000
10 O 0.551 0.046 0.191
11 O 0.584 0.584 0.372
12 O 0.954 0.449 0.809

***

5.
DFT (PBE) results for a geometry-optimized Er2Zn7Ga structure.

Results
formation enthalpy at 0 K: -0.31 eV per atom

a b c (Å): 4.093 4.093 10.746
angles (deg): 90.00 90.00 90.00
Positions (direct):
1 Er 0.000 0.500 0.249
2 Er 0.500 0.000 0.751
3 Zn 0.000 0.000 0.000
4 Zn 0.000 0.000 0.500
5 Zn 0.000 0.500 0.638
6 Zn 0.000 0.500 0.861
7 Zn 0.500 0.000 0.139
8 Zn 0.500 0.000 0.362
9 Zn 0.500 0.500 0.500
10 Ga 0.500 0.500 0.000

***

6.
DFT (PBE) results for a geometry-optimized ScZnTe2 structure.

Results
energy relative to the elements, uncorrected: -42.6 kJ per mole of atoms

a b c (Å): 3.876 4.239 6.146
angles (deg): 90.00 90.00 90.00
Positions (direct):
1 Sc 0.000 0.000 0.000
2 Zn 0.000 0.500 0.500
3 Te 0.500 0.000 0.500
4 Te 0.500 0.500 0.000

***

7.
DFT (PBE) results for a geometry-optimized Mg5Sn2BiPd2 structure.

Results
formation enthalpy at 0 K: -0.30 eV per atom

a b c (Å): 10.957 10.957 3.700
angles (deg): 90.00 90.00 90.00
Positions (direct):
1 Mg 0.000 0.500 0.000
2 Mg 0.074 0.213 0.000
3 Mg 0.213 0.926 0.000
4 Mg 0.287 0.426 0.000
5 Mg 0.426 0.713 0.000
6 Mg 0.500 0.000 0.000
7 Mg 0.574 0.287 0.000
8 Mg 0.713 0.574 0.000
9 Mg 0.787 0.074 0.000
10 Mg 0.926 0.787 0.000
11 Sn 0.167 0.667 0.500
12 Sn 0.333 0.167 0.500
13 Sn 0.667 0.833 0.500
14 Sn 0.833 0.333 0.500
15 Bi 0.000 0.000 0.500
16 Bi 0.500 0.500 0.500
17 Pd 0.122 0.378 0.500
18 Pd 0.378 0.878 0.500
19 Pd 0.622 0.122 0.500
20 Pd 0.878 0.622 0.500

***

Number 1: mass density 6.115 Mg/m³. Number 2: mass density 9.424 Mg/m³. Number 3: mass density 9.162 Mg/m³. Number 4: mass density 7.067 Mg/m³. Number 5: mass density 7.951 Mg/m³. Number 6: mass density 6.011 Mg/m³. Number 7: mass density 5.838 Mg/m³.